TiTc2GeC after structural relaxation. Source: Alexandria via LeMat-Bulk, functional GGA-PBEsol.

Values from the calculation:
E_form: -176 meV/atom
Total energy: -9.26 eV per atom

Lattice parameters (Å, degrees): 4.0393 4.0393 4.0155 90.00 90.00 90.00
With the nearest neighbours (Å) after each atom.
Fractional positions:
Ti (0.0000, 0.0000, 0.0000)  2 C 2.01
Tc (0.0000, 0.5000, 0.5000)  2 C 2.02
Tc (0.5000, 0.0000, 0.5000)  2 C 2.02
Ge (0.5000, 0.5000, 0.0000)  8 Tc 2.85, 4 Ti 2.86
C (0.0000, 0.0000, 0.5000)  2 Ti 2.01, 4 Tc 2.02



Zr2TcGeC after structural relaxation. Source: Alexandria via LeMat-Bulk, functional GGA-PBEsol.

Values from the calculation:
E_form: 1221 meV/atom
Total energy: -7.58 eV per atom

Lattice parameters (Å, degrees): 5.0295 5.0295 3.5797 90.00 90.00 90.00
With the nearest neighbours (Å) after each atom.
Fractional positions:
Zr (0.0000, 0.5000, 0.0000)  2 Ge 2.51
Zr (0.5000, 0.0000, 0.0000)  2 Ge 2.51
Tc (0.0000, 0.0000, 0.5000)  8 Zr 3.09
Ge (0.5000, 0.5000, 0.0000)  2 C 1.79
C (0.5000, 0.5000, 0.5000)  2 Ge 1.79



Ti3GeC2 after structural relaxation. Source: Alexandria via LeMat-Bulk, functional GGA-PBEsol.

Values from the calculation:
E_form: -918 meV/atom
Total energy: -9.12 eV per atom

Lattice parameters (Å, degrees): 3.0674 3.0674 17.7071 90.00 90.00 120.00
With the nearest neighbours (Å) after each atom.
Fractional positions:
Ti (0.0000, 0.0000, 0.0000)  6 C 2.18
Ti (0.0000, 0.0000, 0.5000)  6 C 2.18
Ti (0.3333, 0.6667, 0.1328)  3 C 2.08
Ti (0.3333, 0.6667, 0.3672)  3 C 2.08
Ti (0.6667, 0.3333, 0.6328)  3 C 2.08
Ti (0.6667, 0.3333, 0.8672)  3 C 2.08
Ge (0.0000, 0.0000, 0.2500)  6 Ti 2.73
Ge (0.0000, 0.0000, 0.7500)  6 Ti 2.73
C (0.3333, 0.6667, 0.5716)  6 Ti 2.08-2.18
C (0.3333, 0.6667, 0.9284)  6 Ti 2.08-2.18
C (0.6667, 0.3333, 0.0716)  6 Ti 2.08-2.18
C (0.6667, 0.3333, 0.4284)  6 Ti 2.08-2.18



TiZn2GeC after structural relaxation. Source: Alexandria via LeMat-Bulk, functional GGA-PBEsol.

Values from the calculation:
E_form: 1166 meV/atom
Total energy: -4.05 eV per atom

Lattice parameters (Å, degrees): 4.9269 4.9269 3.8542 90.00 90.00 90.00
With the nearest neighbours (Å) after each atom.
Fractional positions:
Ti (0.0000, 0.0000, 0.0000)  2 C 1.93
Zn (0.0000, 0.5000, 0.0000)  2 Ti 2.46
Zn (0.5000, 0.0000, 0.0000)  2 Ti 2.46
Ge (0.5000, 0.5000, 0.5000)  8 Zn 3.13, 4 C 3.48
C (0.0000, 0.0000, 0.5000)  2 Ti 1.93



Tl3GeC after structural relaxation. Source: Alexandria via LeMat-Bulk, functional GGA-PBEsol.

Values from the calculation:
E_form: 1065 meV/atom
Total energy: -3.43 eV per atom

Lattice parameters (Å, degrees): 4.8067 4.8067 4.8067 90.00 90.00 90.00
With the nearest neighbours (Å) after each atom.
Fractional positions:
Tl (0.0000, 0.0000, 0.5000)  2 C 2.40
Tl (0.0000, 0.5000, 0.0000)  2 C 2.40
Tl (0.5000, 0.0000, 0.0000)  2 C 2.40
Ge (0.5000, 0.5000, 0.5000)  12 Tl 3.40
C (0.0000, 0.0000, 0.0000)  6 Tl 2.40



| no. | D(E_F) (states/eV/atom) |
| --- | --- |
| 1 | 0.723 |
| 2 | 0.828 |
| 3 | 0.329 |
| 4 | 0.831 |
| 5 | 0.863 |